Crystalline MoPF3 at its relaxed geometry. Source: Alexandria via LeMat-Bulk, functional PBE+U.

Output
Relative energy among the computed polymorphs   0 meV/atom

Lattice parameters (Å, degrees): 4.2714 4.2714 4.2714 90.00 90.00 90.00
With the nearest neighbours (Å) after each atom.
Space group Pm-3m (No. 221)
Symmetry-distinct sites (fractional):
Mo 0.0000 0.0000 0.0000  6 F 2.14
P 0.5000 0.5000 0.5000  12 F 3.02
F 0.0000 0.0000 0.5000  2 Mo 2.14